# 1
This record from the Open Quantum Materials Database describes a relaxed structure of CsCoCuRe. The functional is PBE.

Calculated values
Magnetization, μB/f.u.: 4.03
Total DFT energy (no corrections), eV per formula unit: -16.53

Cell lengths 6.712, 6.712, 6.712 Å; angles 90.00, 90.00, 90.00 degrees
Space group F-43m (No. 216)
Symmetry-distinct sites (fractional):
Cs (0.000, 0.000, 0.000) (multiplicity 4)
Co (0.250, 0.250, 0.750) (multiplicity 4)
Cu (0.250, 0.250, 0.250) (multiplicity 4)
Re (0.000, 0.000, 0.500) (multiplicity 4)

=====

# 2
This record from the Open Quantum Materials Database describes a relaxed structure of CsCoCuSeS2. The functional is PBE.

Calculated values
Magnetization, μB/f.u.: 0.19
Total DFT energy (no corrections), eV per formula unit: -25.93

Cell lengths 3.525, 15.889, 9.526 Å; angles 90.00, 90.00, 90.00 degrees
Space group Cmcm (No. 63)
Symmetry-distinct sites (fractional):
Cs (0.000, 0.242, 0.250) (multiplicity 4)
Co (0.000, 0.000, 0.000) (multiplicity 4)
Cu (0.000, 0.457, 0.750) (multiplicity 4)
Se (0.000, 0.059, 0.750) (multiplicity 4)
S (0.000, 0.406, 0.533) (multiplicity 8)

=====

# 3
This record from the Open Quantum Materials Database describes a relaxed structure of CsCoCuSe2S. The functional is PBE.

Calculated values
Magnetization, μB/f.u.: 0.78
Total DFT energy (no corrections), eV per formula unit: -25.07

Cell lengths 3.661, 15.881, 9.698 Å; angles 90.00, 90.00, 90.00 degrees
Space group Cmcm (No. 63)
Symmetry-distinct sites (fractional):
Cs (0.000, 0.247, 0.250) (multiplicity 4)
Co (0.000, 0.500, 0.000) (multiplicity 4)
Cu (0.000, 0.031, 0.750) (multiplicity 4)
Se (0.000, 0.099, 0.533) (multiplicity 8)
S (0.000, 0.448, 0.750) (multiplicity 4)

=====

# 4
This record from the Open Quantum Materials Database describes a relaxed structure of CsCoCuTeSe2. The functional is PBE.

Calculated values
Magnetization, μB/f.u.: 0.00
Total DFT energy (no corrections), eV per formula unit: -24.01

Cell lengths 3.674, 16.682, 10.055 Å; angles 90.00, 90.00, 90.00 degrees
Space group Cmcm (No. 63)
Symmetry-distinct sites (fractional):
Cs (0.000, 0.236, 0.250) (multiplicity 4)
Co (0.000, 0.000, 0.000) (multiplicity 4)
Cu (0.000, 0.453, 0.750) (multiplicity 4)
Te (0.000, 0.061, 0.750) (multiplicity 4)
Se (0.000, 0.405, 0.530) (multiplicity 8)

=====

# 5
This record from the Open Quantum Materials Database describes a relaxed structure of CsCoCuTe3. The functional is PBE.

Calculated values
Magnetization, μB/f.u.: 0.28
Total DFT energy (no corrections), eV per formula unit: -22.71

Cell lengths 3.891, 16.990, 10.508 Å; angles 90.00, 90.00, 90.00 degrees
Space group Cmcm (No. 63)
Symmetry-distinct sites (fractional):
Cs (0.000, 0.243, 0.250) (multiplicity 4)
Co (0.000, 0.000, 0.000) (multiplicity 4)
Cu (0.000, 0.458, 0.750) (multiplicity 4)
Te (0.000, 0.058, 0.750) (multiplicity 4)
Te (0.000, 0.400, 0.528) (multiplicity 8)

=====

# 6
This record from the Open Quantum Materials Database describes a relaxed structure of CsCoCuTe3. The functional is PBE.

Calculated values
Magnetization, μB/f.u.: 0.00
Total DFT energy (no corrections), eV per formula unit: -23.24

Cell lengths 9.565, 3.947, 10.544 Å; angles 90.00, 116.59, 90.00 degrees
Space group P2_1/m (No. 11)
Symmetry-distinct sites (fractional):
Cs (0.035, 0.250, 0.261) (multiplicity 2)
Co (0.481, 0.250, 0.149) (multiplicity 2)
Cu (0.477, 0.750, 0.413) (multiplicity 2)
Te (0.296, 0.750, 0.140) (multiplicity 2)
Te (0.337, 0.750, 0.580) (multiplicity 2)
Te (0.360, 0.250, 0.878) (multiplicity 2)

=====

# 7
This record from the Open Quantum Materials Database describes a relaxed structure of CsErCo. The functional is PBE.

Calculated values
Magnetization, μB/f.u.: 0.44
Total DFT energy (no corrections), eV per formula unit: -8.28

Cell lengths 7.020, 7.020, 7.020 Å; angles 90.00, 90.00, 90.00 degrees
Space group F-43m (No. 216)
Symmetry-distinct sites (fractional):
Cs (0.000, 0.000, 0.000) (multiplicity 4)
Er (0.250, 0.250, 0.750) (multiplicity 4)
Co (0.000, 0.000, 0.500) (multiplicity 4)

=====

# 8
This record from the Open Quantum Materials Database describes a relaxed structure of CsFeCo. The functional is PBE.

Calculated values
Magnetization, μB/f.u.: 4.16
Total DFT energy (no corrections), eV per formula unit: -14.01

Cell lengths 4.311, 4.311, 8.010 Å; angles 90.00, 90.00, 90.00 degrees
Space group P4/nmm (No. 129, origin choice 2)
Symmetry-distinct sites (fractional):
Cs (0.250, 0.250, 0.159) (multiplicity 2)
Fe (0.250, 0.250, 0.612) (multiplicity 2)
Co (0.250, 0.750, 0.500) (multiplicity 2)

=====

# 9
This record from the Open Quantum Materials Database describes a relaxed structure of CsFeCoS3. The functional is PBE.

Calculated values
Magnetization, μB/f.u.: 0.96
Total DFT energy (no corrections), eV per formula unit: -32.08

Cell lengths 8.474, 3.506, 8.963 Å; angles 90.00, 114.37, 90.00 degrees
Space group P2_1/m (No. 11)
Symmetry-distinct sites (fractional):
Cs (0.010, 0.250, 0.263) (multiplicity 2)
Fe (0.473, 0.250, 0.163) (multiplicity 2)
Co (0.481, 0.750, 0.392) (multiplicity 2)
S (0.286, 0.750, 0.147) (multiplicity 2)
S (0.353, 0.750, 0.567) (multiplicity 2)
S (0.370, 0.250, 0.880) (multiplicity 2)

=====

# 10
This record from the Open Quantum Materials Database describes a relaxed structure of CsFeCoSe3. The functional is PBE.

Calculated values
Magnetization, μB/f.u.: 1.66
Total DFT energy (no corrections), eV per formula unit: -29.52

Cell lengths 8.895, 3.687, 9.493 Å; angles 90.00, 114.68, 90.00 degrees
Space group P2_1/m (No. 11)
Symmetry-distinct sites (fractional):
Cs (0.015, 0.250, 0.265) (multiplicity 2)
Fe (0.466, 0.250, 0.158) (multiplicity 2)
Co (0.474, 0.750, 0.389) (multiplicity 2)
Se (0.278, 0.750, 0.139) (multiplicity 2)
Se (0.353, 0.750, 0.568) (multiplicity 2)
Se (0.367, 0.250, 0.876) (multiplicity 2)

=====

# 11
This record from the Open Quantum Materials Database describes a relaxed structure of CsFeCoSe3. The functional is PBE.

Calculated values
Magnetization, μB/f.u.: 1.34
Total DFT energy (no corrections), eV per formula unit: -29.26

Cell lengths 3.721, 16.170, 9.821 Å; angles 90.00, 90.00, 90.00 degrees
Space group Cmcm (No. 63)
Symmetry-distinct sites (fractional):
Cs (0.000, 0.244, 0.250) (multiplicity 4)
Fe (0.000, 0.500, 0.000) (multiplicity 4)
Co (0.000, 0.032, 0.750) (multiplicity 4)
Se (0.000, 0.105, 0.549) (multiplicity 8)
Se (0.000, 0.446, 0.750) (multiplicity 4)

=====

# 12
This record from the Open Quantum Materials Database describes a relaxed structure of CsFeCoTe3. The functional is PBE.

Calculated values
Magnetization, μB/f.u.: 3.10
Total DFT energy (no corrections), eV per formula unit: -26.95

Cell lengths 3.888, 17.370, 10.175 Å; angles 90.00, 90.00, 90.00 degrees
Space group Cmcm (No. 63)
Symmetry-distinct sites (fractional):
Cs (0.000, 0.244, 0.250) (multiplicity 4)
Fe (0.000, 0.000, 0.000) (multiplicity 4)
Co (0.000, 0.472, 0.750) (multiplicity 4)
Te (0.000, 0.061, 0.750) (multiplicity 4)
Te (0.000, 0.399, 0.540) (multiplicity 8)